Record 1
## Ce3NdTh2As6 (PBE)

Data for crystalline Ce3NdTh2As6 at its relaxed geometry.

The structure in CIF format:
```
data_Ce3NdTh2As6
_cell_length_a 7.346
_cell_length_b 7.346
_cell_length_c 7.355
_cell_angle_alpha 99.58
_cell_angle_beta 99.58
_cell_angle_gamma 119.98
_symmetry_space_group_name_H-M 'P 1'
_symmetry_Int_Tables_number 1
_symmetry_space_group_name_Hall 'P 1'
loop_
_atom_site_label
_atom_site_fract_x
_atom_site_fract_y
_atom_site_fract_z
As1 0.749 0.749 0.252
As2 0.419 0.084 0.252
Th1 0.333 0.667 0.000
As3 0.084 0.419 0.252
Nd1 0.000 0.000 0.000
Th2 0.667 0.333 0.000
As4 0.581 0.916 0.748
Ce1 0.500 0.500 0.500
Ce2 0.834 0.166 0.500
As5 0.916 0.581 0.748
Ce3 0.166 0.834 0.500
As6 0.251 0.251 0.748
```

Output
formation enthalpy at 0 K = -1.45 eV per atom

Record 2
## KDyPb2Cl8 (PBE)

Data for crystalline KDyPb2Cl8 at its relaxed geometry.

The structure in CIF format:
```
data_KDyPb2Cl8
_cell_length_a 6.832
_cell_length_b 6.567
_cell_length_c 8.885
_cell_angle_alpha 90.00
_cell_angle_beta 90.00
_cell_angle_gamma 89.12
_symmetry_space_group_name_H-M 'P 1'
_symmetry_Int_Tables_number 1
_symmetry_space_group_name_Hall 'P 1'
loop_
_atom_site_label
_atom_site_fract_x
_atom_site_fract_y
_atom_site_fract_z
K1 0.000 0.000 0.500
Cl1 0.160 0.774 0.784
Cl2 0.840 0.226 0.216
Cl3 0.160 0.774 0.216
Cl4 0.642 0.721 0.500
Pb1 0.500 0.500 0.749
Dy1 0.000 0.000 0.000
Cl5 0.358 0.279 0.500
Cl6 0.689 0.755 0.000
Pb2 0.500 0.500 0.251
Cl7 0.311 0.245 0.000
Cl8 0.840 0.226 0.784
```

Output
formation energy (no corrections) = -1.67 eV per atom

Record 3
## BeCdBIrAu (PBE)

Data for crystalline BeCdBIrAu at its relaxed geometry.

The structure in CIF format:
```
data_BeCdBIrAu
_cell_length_a 2.918
_cell_length_b 3.859
_cell_length_c 7.487
_cell_angle_alpha 100.99
_cell_angle_beta 89.93
_cell_angle_gamma 112.05
_symmetry_space_group_name_H-M 'P 1'
_symmetry_Int_Tables_number 1
_symmetry_space_group_name_Hall 'P 1'
loop_
_atom_site_label
_atom_site_fract_x
_atom_site_fract_y
_atom_site_fract_z
Ir1 0.115 0.084 0.820
B1 0.413 0.683 0.835
Cd1 0.700 0.253 0.157
Au1 0.051 0.952 0.437
Be1 0.787 0.425 0.650
```

Output
formation enthalpy at 0 K = -0.05 eV per atom

Record 4
## K4CoAs (PBE)

Data for crystalline K4CoAs at its relaxed geometry.

The structure in CIF format:
```
data_K4CoAs
_cell_length_a 6.703
_cell_length_b 6.703
_cell_length_c 6.703
_cell_angle_alpha 60.00
_cell_angle_beta 60.00
_cell_angle_gamma 60.00
_symmetry_space_group_name_H-M 'P 1'
_symmetry_Int_Tables_number 1
_symmetry_space_group_name_Hall 'P 1'
loop_
_atom_site_label
_atom_site_fract_x
_atom_site_fract_y
_atom_site_fract_z
K1 0.871 0.376 0.376
K2 0.376 0.376 0.871
Co1 0.000 0.000 0.000
As1 0.750 0.750 0.750
K3 0.376 0.871 0.376
K4 0.376 0.376 0.376
```

Output
formation enthalpy at 0 K = 0.82 eV per atom

Record 5
## Mg3As (PBE)

Data for crystalline Mg3As at its relaxed geometry.

The structure in CIF format:
```
data_Mg3As
_cell_length_a 4.345
_cell_length_b 4.345
_cell_length_c 4.345
_cell_angle_alpha 90.00
_cell_angle_beta 90.00
_cell_angle_gamma 90.00
_symmetry_space_group_name_H-M 'P 1'
_symmetry_Int_Tables_number 1
_symmetry_space_group_name_Hall 'P 1'
loop_
_atom_site_label
_atom_site_fract_x
_atom_site_fract_y
_atom_site_fract_z
Mg1 0.000 0.500 0.500
As1 0.000 0.000 0.000
Mg2 0.500 0.000 0.500
Mg3 0.500 0.500 0.000
```

Output
formation enthalpy at 0 K = -0.20 eV per atom

Record 6
## Na2AcTl4Pb (PBE)

Data for crystalline Na2AcTl4Pb at its relaxed geometry.

The structure in CIF format:
```
data_Na2AcTl4Pb
_cell_length_a 5.189
_cell_length_b 6.667
_cell_length_c 16.441
_cell_angle_alpha 90.00
_cell_angle_beta 90.00
_cell_angle_gamma 112.90
_symmetry_space_group_name_H-M 'P 1'
_symmetry_Int_Tables_number 1
_symmetry_space_group_name_Hall 'P 1'
loop_
_atom_site_label
_atom_site_fract_x
_atom_site_fract_y
_atom_site_fract_z
Tl1 0.418 0.836 0.404
Na1 0.286 0.572 0.575
Tl2 0.582 0.164 0.596
Tl3 0.000 0.000 0.500
Tl4 0.582 0.164 0.904
Na2 0.286 0.572 0.925
Tl5 0.604 0.208 0.250
Pb1 0.760 0.519 0.750
Na3 0.714 0.428 0.425
Ac1 0.067 0.135 0.750
Pb2 0.240 0.481 0.250
Tl6 0.396 0.792 0.750
Na4 0.714 0.428 0.075
Ac2 0.933 0.865 0.250
Tl7 0.418 0.836 0.096
Tl8 0.000 0.000 0.000
```

Output
formation enthalpy at 0 K = -0.14 eV per atom

Record 7
## PmPu2ThS4 (PBE)

Data for crystalline PmPu2ThS4 at its relaxed geometry.

The structure in CIF format:
```
data_PmPu2ThS4
_cell_length_a 3.975
_cell_length_b 6.940
_cell_length_c 6.912
_cell_angle_alpha 70.75
_cell_angle_beta 90.00
_cell_angle_gamma 90.00
_symmetry_space_group_name_H-M 'P 1'
_symmetry_Int_Tables_number 1
_symmetry_space_group_name_Hall 'P 1'
loop_
_atom_site_label
_atom_site_fract_x
_atom_site_fract_y
_atom_site_fract_z
Th1 0.000 0.500 0.500
S1 0.500 0.240 0.755
S2 0.000 0.241 0.252
Pu1 0.000 0.000 0.000
Pu2 0.500 0.000 0.500
S3 0.500 0.760 0.245
Pm1 0.500 0.500 0.000
S4 0.000 0.759 0.748
```

Output
formation energy (no corrections) = -1.87 eV per atom

Record 8
## SrSi2Pt (PBE)

Data for crystalline SrSi2Pt at its relaxed geometry.

The structure in CIF format:
```
data_SrSi2Pt
_cell_length_a 3.496
_cell_length_b 3.496
_cell_length_c 6.850
_cell_angle_alpha 90.00
_cell_angle_beta 90.00
_cell_angle_gamma 101.24
_symmetry_space_group_name_H-M 'P 1'
_symmetry_Int_Tables_number 1
_symmetry_space_group_name_Hall 'P 1'
loop_
_atom_site_label
_atom_site_fract_x
_atom_site_fract_y
_atom_site_fract_z
Pt1 0.500 0.500 0.750
Si1 0.000 0.000 0.575
Sr1 0.500 0.500 0.250
Si2 0.000 0.000 0.925
```

Output
formation energy (no corrections) = -0.31 eV per atom